i:
# Pm3ErSc6

A relaxed structure of Pm3ErSc6 (PBE-GGA, Alexandria).

calculated density	5.1	g/cm³
density of states at the Fermi level	57.94	states/eV per cell

Cell and atoms, written as CIF:
```
data_Pm3ErSc6
_chemical_formula_sum 'Pm12 Er4 Sc24'
_space_group_name_H-M_alt 'C m c 21'
_space_group_IT_number 36
_space_group_name_Hall 'C 2c -2'
_cell_length_a 11.706
_cell_length_b 15.848
_cell_length_c 6.113
_cell_angle_alpha 90.00
_cell_angle_beta 90.00
_cell_angle_gamma 90.00
loop_
_atom_site_label
_atom_site_type_symbol
_atom_site_fract_x
_atom_site_fract_y
_atom_site_fract_z
Pm1 Pm 0.000 0.088 0.000
Pm2 Pm 0.196 0.421 0.514
Er1 Er 0.000 0.284 0.798
Sc1 Sc 0.000 0.255 0.339
Sc2 Sc 0.000 0.441 0.117
Sc3 Sc 0.143 0.098 0.498
Sc4 Sc 0.216 0.258 0.126
```

ii:
# Pm3ErSc6

A relaxed structure of Pm3ErSc6 (PBE-GGA, Alexandria).

calculated density	5.1	g/cm³
density of states at the Fermi level	61.09	states/eV per cell

Cell and atoms, written as CIF:
```
data_Pm3ErSc6
_chemical_formula_sum 'Pm9 Er3 Sc18'
_space_group_name_H-M_alt 'R 3'
_space_group_IT_number 146
_space_group_name_Hall 'R 3'
_cell_length_a 9.3308
_cell_length_b 9.3308
_cell_length_c 11.2780
_cell_angle_alpha 90.00
_cell_angle_beta 90.00
_cell_angle_gamma 120.00
loop_
_atom_site_label
_atom_site_type_symbol
_atom_site_fract_x
_atom_site_fract_y
_atom_site_fract_z
Pm1 Pm 0.0000 0.0000 0.0000
Pm2 Pm 0.0000 0.0000 0.2499
Pm3 Pm 0.0000 0.0000 0.4997
Er1 Er 0.0000 0.0000 0.7499
Sc1 Sc 0.0032 0.3296 0.4994
Sc2 Sc 0.0070 0.6700 0.6662
```

Result of the stability comparison: ii is the least stable of them.